Crystalline ZnCrO2 at its relaxed geometry, computed with PBE+U. Values from VASP.

DFT total energy, eV/atom: -6.09
M_tot, μB per cell: 14.000

Structure (Quantum ESPRESSO input):
```
&SYSTEM
  ibrav = 0, nat = 16, ntyp = 3
/
ATOMIC_SPECIES
O 16.00 O.upf
Zn 65.41 Zn.upf
Cr 52.00 Cr.upf
CELL_PARAMETERS angstrom
-0.027 2.841 -1.170
1.715 -3.250 -7.127
-7.860 -1.321 1.003
ATOMIC_POSITIONS angstrom
O -3.419 -2.451 -4.204
O -1.056 -0.739 -4.373
O -0.538 1.055 -0.424
O -1.423 -3.150 -6.002
O -4.323 -0.150 -2.784
O -6.732 -1.411 -1.863
O -3.671 -2.156 -7.202
O -6.168 -0.896 -4.553
Zn 0.519 -0.266 -6.884
Zn -6.487 -0.566 -0.003
Zn -1.275 -0.788 -1.017
Zn -2.520 0.409 -3.488
Cr -2.489 -1.393 -5.684
Cr -5.178 -1.955 -3.146
Cr -3.794 0.007 -0.831
Cr 0.052 1.006 -4.220
```